Below is a relaxed structure of TiAlV2H, with properties calculated at the PBE level.

mass density	4.863	Mg/m³
calculated total energy	-6.881	eV/atom
space group	P4/mmm (123)
total magnetization	0.00	μB/f.u.

Cell: 3.783 3.783 4.240 Å, 90.00 90.00 90.00°
Atoms (fractional coordinates):
Ti 0.000 0.000 0.000
Al 0.500 0.500 0.000
V 0.000 0.500 0.500
V 0.500 0.000 0.500
H 0.000 0.000 0.500

Below is a relaxed structure of Cs2CaZn2Se4, with properties calculated at the PBE level.

mass density	4.514	Mg/m³
calculated total energy	-3.444	eV/atom
space group	C2/m (12)
energy relative to the elements, uncorrected	-1.200	eV/atom
total magnetization	0.00	μB/f.u.

Cell: 8.399 8.399 8.462 Å, 107.79 107.79 29.26°
Atoms (fractional coordinates):
Cs 0.129 0.129 0.046
Cs 0.871 0.871 0.954
Ca 0.000 0.000 0.500
Zn 0.329 0.329 0.528
Zn 0.671 0.671 0.472
Se 0.204 0.204 0.654
Se 0.475 0.475 0.724
Se 0.525 0.525 0.276
Se 0.796 0.796 0.346

Below is a relaxed structure of CuAg4Pd3, with properties calculated at the PBE level.

mass density	10.369	Mg/m³
calculated total energy	-3.875	eV/atom
space group	C2/m (12)
E_form	0.010	eV per atom
total magnetization	0.00	μB/f.u.

Cell: 9.751 9.751 2.994 Å, 98.76 98.76 27.64°
Atoms (fractional coordinates):
Cu 0.000 0.000 0.000
Ag 0.116 0.116 0.616
Ag 0.370 0.370 0.870
Ag 0.630 0.630 0.130
Ag 0.884 0.884 0.384
Pd 0.244 0.244 0.244
Pd 0.500 0.500 0.500
Pd 0.756 0.756 0.756

Below is a relaxed structure of Ba2AcCu2O6, with properties calculated at the PBE level.

mass density	5.366	Mg/m³
calculated total energy	-5.937	eV/atom
space group	P-3 (147)
energy relative to the elements, uncorrected	-1.765	eV/atom
total magnetization	3.02	μB/f.u.

Cell: 6.225 6.225 6.683 Å, 90.00 90.00 120.00°
Atoms (fractional coordinates):
Ba 0.333 0.667 0.341
Ba 0.667 0.333 0.659
Ac 0.000 0.000 0.000
Cu 0.333 0.667 0.810
Cu 0.667 0.333 0.190
O 0.069 0.354 0.777
O 0.285 0.931 0.777
O 0.354 0.285 0.223
O 0.646 0.715 0.777
O 0.715 0.069 0.223
O 0.931 0.646 0.223

Below is a relaxed structure of SmEr3Pb, with properties calculated at the PBE level.

mass density	9.203	Mg/m³
calculated total energy	-4.561	eV/atom
space group	P2_1/c (14)
E_form	-0.138	eV per atom
total magnetization	0.00	μB/f.u.

Cell: 8.665 8.679 9.658 Å, 90.00 121.36 90.00°
Atoms (fractional coordinates):
Sm 0.195 0.067 0.292
Sm 0.195 0.433 0.792
Sm 0.805 0.567 0.208
Sm 0.805 0.933 0.708
Er 0.086 0.693 0.048
Er 0.086 0.807 0.548
Er 0.236 0.066 0.960
Er 0.236 0.434 0.460
Er 0.403 0.096 0.701
Er 0.403 0.404 0.201
Er 0.597 0.596 0.799
Er 0.597 0.904 0.299
Er 0.764 0.566 0.540
Er 0.764 0.934 0.040
Er 0.914 0.193 0.452
Er 0.914 0.307 0.952
Pb 0.398 0.748 0.955
Pb 0.398 0.752 0.455
Pb 0.602 0.248 0.545
Pb 0.602 0.252 0.045

Below is a relaxed structure of MgInO2F, with properties calculated at the PBE level.

mass density	5.379	Mg/m³
calculated total energy	-4.926	eV/atom
space group	P4/mmm (123)
energy relative to the elements, uncorrected	-1.702	eV/atom
total magnetization	0.09	μB/f.u.

Cell: 4.000 4.000 3.668 Å, 90.00 90.00 90.00°
Atoms (fractional coordinates):
Mg 0.000 0.000 0.000
In 0.500 0.500 0.500
O 0.000 0.500 0.000
O 0.500 0.000 0.000
F 0.000 0.000 0.500